Entry 1:
Entry from Alexandria: a relaxed structure of K2HgAuBr6 (GGA-PBE).

* raw formation energy: -78 kJ per mole of atoms
* VASP energy: -2.390 eV/atom

Lattice parameters (Å, degrees): 7.7945 7.7945 7.7945 60.00 60.00 60.00
Last column: nearest neighbours and their distance in Å.
Positions (direct):
Br (0.2445, 0.2445, 0.7555)  1 Au 2.70, 1 Hg 2.82
Br (0.7555, 0.2445, 0.2445)  1 Au 2.70, 1 Hg 2.82
K (0.2500, 0.2500, 0.2500)  12 Br 3.90
K (0.7500, 0.7500, 0.7500)  12 Br 3.90
Br (0.7555, 0.7555, 0.2445)  1 Au 2.70, 1 Hg 2.82
Br (0.2445, 0.7555, 0.2445)  1 Au 2.70, 1 Hg 2.82
Br (0.7555, 0.2445, 0.7555)  1 Au 2.70, 1 Hg 2.82
Br (0.2445, 0.7555, 0.7555)  1 Au 2.70, 1 Hg 2.82
Hg (0.5000, 0.5000, 0.5000)  6 Br 2.82
Au (0.0000, 0.0000, 0.0000)  6 Br 2.70


Entry 2:
Entry from Alexandria: a relaxed structure of Na2HgAuBr6 (GGA-PBE).

* raw formation energy: -73 kJ per mole of atoms
* VASP energy: -2.379 eV/atom

Lattice parameters (Å, degrees): 7.9188 7.3700 8.5807 56.92 56.98 55.01
Last column: nearest neighbours and their distance in Å.
Positions (direct):
Br (0.4025, 0.7069, 0.7685)  1 Au 2.62
Br (0.0697, 0.4623, 0.7287)  1 Hg 2.52
Br (0.9759, 0.5532, 0.2458)  1 Au 2.61
Br (0.2457, 0.9460, 0.2162)  1 Au 2.59
Au (0.3258, 0.3239, 0.0128)  4 Br 2.59-2.62
Na (0.9801, 0.0247, 0.9640)  5 Br 2.95-3.03
Hg (0.8253, 0.8213, 0.5335)  2 Br 2.52-2.54
Br (0.6089, 0.1842, 0.3107)  1 Hg 2.54
Br (0.6960, 0.1050, 0.7835)  1 Au 2.61
Na (0.5317, 0.5341, 0.4515)  6 Br 2.97-3.27


Entry 3:
Entry from Alexandria: a relaxed structure of Hg4AuBr2O (GGA-PBE).

* raw formation energy: -5 kJ per mole of atoms
* VASP energy: -1.651 eV/atom

Lattice parameters (Å, degrees): 8.4485 8.4485 7.7834 117.00 117.00 97.98
Last column: nearest neighbours and their distance in Å.
Positions (direct):
Hg (0.8205, 0.2074, 0.0154)  1 O 2.47
Hg (0.2239, 0.2733, 0.0341)  2 O 2.60-2.65, 1 Au 2.89
Br (0.0000, 0.0000, 0.5000)  4 Hg 2.99-3.02
Br (0.5000, 0.0000, 0.0000)  4 Hg 2.93-2.99
Hg (0.7733, 0.7239, 0.5341)  2 O 2.60-2.65, 1 Au 2.89
Hg (0.2926, 0.6795, 0.4846)  1 O 2.47
Hg (0.2267, 0.2761, 0.4659)  2 O 2.60-2.65, 1 Au 2.89
O (0.5000, 0.5000, 0.5000)  6 Hg 2.47-2.65
Hg (0.7074, 0.3205, 0.5154)  1 O 2.47
Br (0.5000, 0.0000, 0.5000)  4 Hg 2.93-2.99
Hg (0.7761, 0.7267, 0.9659)  2 O 2.60-2.65, 1 Au 2.89
Br (0.5000, 0.5000, 0.0000)  4 Hg 2.99-3.02
Hg (0.1795, 0.7926, 0.9846)  1 O 2.47
Au (0.0000, 0.5000, 0.0000)  6 Hg 2.80-2.89
Au (0.0000, 0.5000, 0.5000)  6 Hg 2.80-2.89
O (0.0000, 0.0000, 0.0000)  6 Hg 2.47-2.65


Entry 4:
Entry from Alexandria: a relaxed structure of Hg4PAuBr2 (GGA-PBE).

* raw formation energy: 1 kJ per mole of atoms
* VASP energy: -1.640 eV/atom

Lattice parameters (Å, degrees): 8.6375 8.6375 8.0388 117.74 117.74 96.85
Last column: nearest neighbours and their distance in Å.
Positions (direct):
Hg (0.7279, 0.3079, 0.5179)  1 P 2.72, 2 Au 2.81, 2 Br 3.02
Hg (0.7624, 0.7375, 0.5263)  2 P 2.73, 2 Br 3.02
Hg (0.7625, 0.7376, 0.9737)  2 P 2.73, 2 Br 3.02
Hg (0.2375, 0.2624, 0.0263)  2 P 2.73, 2 Br 3.02
Hg (0.1921, 0.7721, 0.9821)  1 P 2.72, 2 Au 2.81, 2 Br 3.02
Br (0.5000, 0.0000, 0.0000)  4 Hg 3.02
P (0.0000, 0.0000, 0.0000)  6 Hg 2.72-2.73
Br (0.5000, 0.5000, 0.0000)  4 Hg 3.02
Hg (0.2721, 0.6921, 0.4821)  1 P 2.72, 2 Au 2.81, 2 Br 3.02
P (0.5000, 0.5000, 0.5000)  6 Hg 2.72-2.73
Hg (0.2376, 0.2625, 0.4737)  2 P 2.73, 2 Br 3.02
Br (0.0000, 0.0000, 0.5000)  4 Hg 3.02
Au (0.0000, 0.5000, 0.0000)  6 Hg 2.81-3.08
Au (0.0000, 0.5000, 0.5000)  6 Hg 2.81-3.08
Hg (0.8079, 0.2279, 0.0179)  1 P 2.72, 2 Au 2.81, 2 Br 3.02
Br (0.5000, 0.0000, 0.5000)  4 Hg 3.02


Entry 5:
Entry from Alexandria: a relaxed structure of HgPb2AuBr (GGA-PBE).

* raw formation energy: 47 kJ per mole of atoms
* VASP energy: -2.049 eV/atom

Lattice parameters (Å, degrees): 5.8703 5.1105 5.8703 90.00 90.00 90.00
Last column: nearest neighbours and their distance in Å.
Positions (direct):
Pb (0.5000, 0.0000, 0.0000)  2 Br 2.94
Pb (0.0000, 0.0000, 0.5000)  2 Br 2.94
Br (0.0000, 0.0000, 0.0000)  2 Au 2.56
Au (0.0000, 0.5000, 0.0000)  2 Br 2.56
Hg (0.5000, 0.5000, 0.5000)  8 Pb 3.89, 4 Au 4.15


Entry 6:
Entry from Alexandria: a relaxed structure of Rb2HgAuBr6 (GGA-PBE).

* raw formation energy: -83 kJ per mole of atoms
* VASP energy: -2.419 eV/atom

Lattice parameters (Å, degrees): 7.9425 7.9425 8.0120 60.29 60.29 90.00
Last column: nearest neighbours and their distance in Å.
Positions (direct):
Br (0.7306, 0.2694, 0.0000)  1 Au 2.59
Br (0.7744, 0.7744, 0.4511)  1 Hg 2.58
Br (0.7306, 0.7306, 0.0000)  1 Au 2.59
Rb (0.2500, 0.7500, 0.5000)  12 Br 3.98-4.01
Br (0.2256, 0.2256, 0.5489)  1 Hg 2.58
Au (0.5000, 0.5000, 0.0000)  4 Br 2.59
Br (0.2694, 0.7306, 0.0000)  1 Au 2.59
Br (0.2694, 0.2694, 0.0000)  1 Au 2.59
Rb (0.7500, 0.2500, 0.5000)  12 Br 3.98-4.01
Hg (0.0000, 0.0000, 0.0000)  2 Br 2.58


Entry 7:
Entry from Alexandria: a relaxed structure of Rb2HgAuBr (GGA-PBE).

* raw formation energy: -65 kJ per mole of atoms
* VASP energy: -2.115 eV/atom

Lattice parameters (Å, degrees): 6.5340 6.5340 5.3812 90.00 90.00 90.00
Last column: nearest neighbours and their distance in Å.
Positions (direct):
Rb (0.0000, 0.5000, 0.0000)  2 Au 3.27
Br (0.5000, 0.5000, 0.5000)  8 Rb 4.23, 4 Hg 4.62
Rb (0.5000, 0.0000, 0.0000)  2 Au 3.27
Hg (0.0000, 0.0000, 0.5000)  2 Au 2.69
Au (0.0000, 0.0000, 0.0000)  2 Hg 2.69


Entry 8:
Entry from Alexandria: a relaxed structure of Hg4AuSBr2 (GGA-PBE).

* raw formation energy: -6 kJ per mole of atoms
* VASP energy: -1.561 eV/atom

Lattice parameters (Å, degrees): 8.6702 8.6702 8.0395 117.51 117.51 97.20
Last column: nearest neighbours and their distance in Å.
Positions (direct):
Hg (0.7771, 0.7221, 0.9779)  2 S 2.77-2.78, 1 Au 2.90, 2 Br 3.01-3.03
Br (0.5000, 0.5000, 0.0000)  4 Hg 3.01-3.03
Au (0.0000, 0.5000, 0.0000)  6 Hg 2.80-2.90
Hg (0.2229, 0.2779, 0.0221)  2 S 2.77-2.78, 1 Au 2.90, 2 Br 3.01-3.03
S (0.0000, 0.0000, 0.0000)  6 Hg 2.77-2.89
Hg (0.2625, 0.7064, 0.4841)  2 Au 2.80-2.81, 1 S 2.89, 2 Br 2.98-2.99
Hg (0.7936, 0.2375, 0.0159)  2 Au 2.80-2.81, 1 S 2.89, 2 Br 2.98-2.99
S (0.5000, 0.5000, 0.5000)  6 Hg 2.77-2.89
Hg (0.2221, 0.2771, 0.4779)  2 S 2.77-2.78, 1 Au 2.90, 2 Br 3.01-3.03
Br (0.5000, 0.0000, 0.0000)  4 Hg 2.98-2.99
Au (0.0000, 0.5000, 0.5000)  6 Hg 2.80-2.90
Hg (0.7779, 0.7229, 0.5221)  2 S 2.77-2.78, 1 Au 2.90, 2 Br 3.01-3.03
Hg (0.2064, 0.7625, 0.9841)  2 Au 2.80-2.81, 1 S 2.89, 2 Br 2.98-2.99
Br (0.5000, 0.0000, 0.5000)  4 Hg 2.98-2.99
Hg (0.7375, 0.2936, 0.5159)  2 Au 2.80-2.81, 1 S 2.89, 2 Br 2.98-2.99
Br (0.0000, 0.0000, 0.5000)  4 Hg 3.01-3.03